[1]
An optimized crystal structure of YAsSe. Source: Alexandria via LeMat-Bulk, functional PBE-GGA.

Computed properties:
ΔE_f (raw) in kJ/mol of atoms: -57.2
DOS at the Fermi energy in states/eV per atom: 0.59

abc: 6.7122 6.7122 6.7122
angles: 90.00 90.00 90.00
Last column: nearest neighbours and their distance in Å.
Space group F-43m (No. 216)
Symmetry-distinct sites (fractional):
Y1 0.0000 0.0000 0.0000 (multiplicity 4)  4 Se 2.91
As1 0.0000 0.0000 0.5000 (multiplicity 4)  4 Se 2.91
Se1 0.2500 0.2500 0.7500 (multiplicity 4)  4 As 2.91, 4 Y 2.91


[2]
An optimized crystal structure of Y3AsSe6. Source: Alexandria via LeMat-Bulk, functional PBE-GGA.

Computed properties:
ΔE_f (raw) in kJ/mol of atoms: -134.2

abc: 11.0701 13.8861 6.9775
angles: 90.00 90.00 90.00
Last column: nearest neighbours and their distance in Å.
Space group Cmc2_1 (No. 36)
Symmetry-distinct sites (fractional):
Y1 0.0000 0.0965 0.0000 (multiplicity 4)  7 Se 2.91-3.01
Y2 0.1818 0.4002 0.8991 (multiplicity 8)  7 Se 2.84-3.12
As1 0.0000 0.3220 0.3757 (multiplicity 4)  3 Se 2.48-2.68
Se1 0.0000 0.2677 0.7440 (multiplicity 4)  1 As 2.68, 3 Y 2.93-2.97
Se2 0.0000 0.4872 0.1407 (multiplicity 4)  1 As 2.82, 4 Y 2.89-3.12
Se3 0.1630 0.2391 0.1950 (multiplicity 8)  1 As 2.48
Se4 0.1648 0.0312 0.7017 (multiplicity 8)  4 Y 2.84-2.91


[3]
An optimized crystal structure of YAs4Se. Source: Alexandria via LeMat-Bulk, functional PBE-GGA.

Computed properties:
ΔE_f (raw) in kJ/mol of atoms: -16.8
DOS at the Fermi energy in states/eV per atom: 0.46

abc: 7.9574 7.9574 7.9574
angles: 90.00 90.00 90.00
Last column: nearest neighbours and their distance in Å.
Space group F-43m (No. 216)
Symmetry-distinct sites (fractional):
Y1 0.0000 0.0000 0.0000 (multiplicity 4)  12 As 3.31, 4 Se 3.45
As1 0.1211 0.1211 0.6211 (multiplicity 16)  6 As 2.72-2.90
Se1 0.2500 0.2500 0.2500 (multiplicity 4)  12 As 3.29, 4 Y 3.45